Entry 1:
# Cd2TcHg PBE relaxed
# * V: 21.45 Å³/atom
# * energy of formation from the pure elements: 654 meV per atom
# * N(E_F): 2.64 states/eV/f.u.
data_Cd2TcHg
_chemical_formula_sum 'Cd4 Tc2 Hg2'
_symmetry_space_group_name_H-M 'P 1'
_symmetry_Int_Tables_number 1
_symmetry_space_group_name_Hall 'P 1'
_cell_length_a 10.593
_cell_length_b 10.593
_cell_length_c 10.593
_cell_angle_alpha 157.66
_cell_angle_beta 157.66
_cell_angle_gamma 31.80
loop_
_atom_site_label
_atom_site_fract_x
_atom_site_fract_y
_atom_site_fract_z
_atom_site_occupancy
Cd1 0.114 0.625 0.989 1
Cd2 0.375 0.364 0.489 1
Cd3 0.636 0.125 0.011 1
Cd4 0.875 0.886 0.511 1
Tc1 0.000 0.000 0.000 1
Tc2 0.750 0.250 0.500 1
Hg1 0.250 0.750 0.500 1
Hg2 0.500 0.500 0.000 1

Entry 2:
# PmSe2Cl8 PBE relaxed
# * ΔE_f (raw): -833 meV/atom
# * V: 35.79 Å³/atom
# * N(E_F): 5.74 states/eV/f.u.
data_PmSe2Cl8
_chemical_formula_sum 'Pm1 Se2 Cl8'
_symmetry_space_group_name_H-M 'P 1'
_symmetry_Int_Tables_number 1
_symmetry_space_group_name_Hall 'P 1'
_cell_length_a 7.819
_cell_length_b 7.819
_cell_length_c 7.471
_cell_angle_alpha 107.65
_cell_angle_beta 107.65
_cell_angle_gamma 67.81
loop_
_atom_site_label
_atom_site_fract_x
_atom_site_fract_y
_atom_site_fract_z
_atom_site_occupancy
Pm1 0.000 0.000 0.000 1
Se1 0.158 0.158 0.559 1
Se2 0.842 0.842 0.441 1
Cl1 0.151 0.744 0.220 1
Cl2 0.219 0.219 0.308 1
Cl3 0.256 0.849 0.780 1
Cl4 0.316 0.316 0.787 1
Cl5 0.684 0.684 0.213 1
Cl6 0.744 0.151 0.220 1
Cl7 0.781 0.781 0.692 1
Cl8 0.849 0.256 0.780 1

Entry 3:
# Sr2ZnPt PBE relaxed
# * V: 32.62 Å³/atom
# * energy of formation from the pure elements: -384 meV per atom
# * N(E_F): 3.40 states/eV/f.u.
data_Sr2ZnPt
_chemical_formula_sum 'Sr2 Zn1 Pt1'
_symmetry_space_group_name_H-M 'P 1'
_symmetry_Int_Tables_number 1
_symmetry_space_group_name_Hall 'P 1'
_cell_length_a 4.362
_cell_length_b 4.362
_cell_length_c 8.307
_cell_angle_alpha 105.09
_cell_angle_beta 105.09
_cell_angle_gamma 59.92
loop_
_atom_site_label
_atom_site_fract_x
_atom_site_fract_y
_atom_site_fract_z
_atom_site_occupancy
Sr1 0.237 0.237 0.212 1
Sr2 0.763 0.763 0.788 1
Zn1 0.000 0.000 0.500 1
Pt1 0.500 0.500 0.000 1

Entry 4:
# CsKMnI4 PBE relaxed
# * ΔE_f (raw): -1088 meV/atom
# * V: 48.46 Å³/atom
# * N(E_F): 0.00 states/eV/f.u.
data_CsKMnI4
_chemical_formula_sum 'Cs2 K2 Mn2 I8'
_symmetry_space_group_name_H-M 'P 1'
_symmetry_Int_Tables_number 1
_symmetry_space_group_name_Hall 'P 1'
_cell_length_a 8.120
_cell_length_b 8.375
_cell_length_c 10.519
_cell_angle_alpha 90.00
_cell_angle_beta 108.48
_cell_angle_gamma 90.00
loop_
_atom_site_label
_atom_site_fract_x
_atom_site_fract_y
_atom_site_fract_z
_atom_site_occupancy
Cs1 0.235 0.250 0.432 1
Cs2 0.765 0.750 0.568 1
K1 0.274 0.250 0.948 1
K2 0.726 0.750 0.052 1
Mn1 0.286 0.750 0.190 1
Mn2 0.714 0.250 0.810 1
I1 0.091 0.750 0.931 1
I2 0.095 0.750 0.358 1
I3 0.495 0.502 0.760 1
I4 0.495 0.998 0.760 1
I5 0.505 0.002 0.240 1
I6 0.505 0.498 0.240 1
I7 0.905 0.250 0.642 1
I8 0.909 0.250 0.069 1

Entry 5:
# Co2Mo PBE relaxed
# * V: 12.49 Å³/atom
# * energy of formation from the pure elements: 140 meV per atom
# * N(E_F): 3.45 states/eV/f.u.
data_Co2Mo
_chemical_formula_sum 'Co4 Mo2'
_symmetry_space_group_name_H-M 'P 1'
_symmetry_Int_Tables_number 1
_symmetry_space_group_name_Hall 'P 1'
_cell_length_a 5.067
_cell_length_b 5.067
_cell_length_c 6.031
_cell_angle_alpha 104.30
_cell_angle_beta 104.30
_cell_angle_gamma 30.05
loop_
_atom_site_label
_atom_site_fract_x
_atom_site_fract_y
_atom_site_fract_z
_atom_site_occupancy
Co1 0.022 0.022 0.316 1
Co2 0.313 0.313 0.382 1
Co3 0.687 0.687 0.618 1
Co4 0.978 0.978 0.684 1
Mo1 0.365 0.365 0.964 1
Mo2 0.635 0.635 0.036 1

Entry 6:
# Pr2InNi PBE relaxed
# * V: 25.81 Å³/atom
# * energy of formation from the pure elements: -323 meV per atom
# * N(E_F): 2.86 states/eV/f.u.
data_Pr2InNi
_chemical_formula_sum 'Pr2 In1 Ni1'
_symmetry_space_group_name_H-M 'P 1'
_symmetry_Int_Tables_number 1
_symmetry_space_group_name_Hall 'P 1'
_cell_length_a 3.612
_cell_length_b 3.612
_cell_length_c 7.914
_cell_angle_alpha 90.00
_cell_angle_beta 90.00
_cell_angle_gamma 90.00
loop_
_atom_site_label
_atom_site_fract_x
_atom_site_fract_y
_atom_site_fract_z
_atom_site_occupancy
Pr1 0.000 0.000 0.215 1
Pr2 0.000 0.000 0.785 1
In1 0.500 0.500 0.500 1
Ni1 0.500 0.500 0.000 1

Entry 7:
# LiBeSi PBE relaxed
# * ΔE_f (raw): 222 meV/atom
# * V: 12.65 Å³/atom
# * N(E_F): 1.13 states/eV/f.u.
data_LiBeSi
_chemical_formula_sum 'Li1 Be1 Si1'
_symmetry_space_group_name_H-M 'P 1'
_symmetry_Int_Tables_number 1
_symmetry_space_group_name_Hall 'P 1'
_cell_length_a 4.831
_cell_length_b 4.831
_cell_length_c 4.831
_cell_angle_alpha 144.42
_cell_angle_beta 144.42
_cell_angle_gamma 51.20
loop_
_atom_site_label
_atom_site_fract_x
_atom_site_fract_y
_atom_site_fract_z
_atom_site_occupancy
Li1 0.000 0.000 0.000 1
Be1 0.318 0.318 0.000 1
Si1 0.691 0.691 0.000 1

Entry 8:
# TlTeO2 PBE relaxed
# * ΔE_f (raw): 160 meV/atom
# * V: 15.67 Å³/atom
# * N(E_F): 2.22 states/eV/f.u.
data_TlTeO2
_chemical_formula_sum 'Tl1 Te1 O2'
_symmetry_space_group_name_H-M 'P 1'
_symmetry_Int_Tables_number 1
_symmetry_space_group_name_Hall 'P 1'
_cell_length_a 4.459
_cell_length_b 4.459
_cell_length_c 4.459
_cell_angle_alpha 60.00
_cell_angle_beta 60.00
_cell_angle_gamma 60.00
loop_
_atom_site_label
_atom_site_fract_x
_atom_site_fract_y
_atom_site_fract_z
_atom_site_occupancy
Tl1 0.000 0.000 0.000 1
Te1 0.500 0.500 0.500 1
O1 0.250 0.250 0.250 1
O2 0.750 0.750 0.750 1

Entry 9:
# CsCd6Au2 PBE relaxed
# * V: 26.83 Å³/atom
# * energy of formation from the pure elements: -76 meV per atom
# * N(E_F): 2.30 states/eV/f.u.
data_CsCd6Au2
_chemical_formula_sum 'Cs1 Cd6 Au2'
_symmetry_space_group_name_H-M 'P 1'
_symmetry_Int_Tables_number 1
_symmetry_space_group_name_Hall 'P 1'
_cell_length_a 5.309
_cell_length_b 5.309
_cell_length_c 8.568
_cell_angle_alpha 90.00
_cell_angle_beta 90.00
_cell_angle_gamma 90.00
loop_
_atom_site_label
_atom_site_fract_x
_atom_site_fract_y
_atom_site_fract_z
_atom_site_occupancy
Cs1 0.000 0.000 0.000 1
Cd1 0.000 0.000 0.500 1
Cd2 0.000 0.500 0.308 1
Cd3 0.000 0.500 0.692 1
Cd4 0.500 0.000 0.308 1
Cd5 0.500 0.000 0.692 1
Cd6 0.500 0.500 0.500 1
Au1 0.500 0.500 0.163 1
Au2 0.500 0.500 0.837 1

Entry 10:
# NbRe2HRu PBE relaxed
# * V: 12.78 Å³/atom
# * calculated total energy: -47.4 eV per formula unit
# * N(E_F): 4.29 states/eV/f.u.
data_NbRe2HRu
_chemical_formula_sum 'Nb1 Re2 H1 Ru1'
_symmetry_space_group_name_H-M 'P 1'
_symmetry_Int_Tables_number 1
_symmetry_space_group_name_Hall 'P 1'
_cell_length_a 3.994
_cell_length_b 3.994
_cell_length_c 4.006
_cell_angle_alpha 90.00
_cell_angle_beta 90.00
_cell_angle_gamma 90.00
loop_
_atom_site_label
_atom_site_fract_x
_atom_site_fract_y
_atom_site_fract_z
_atom_site_occupancy
Nb1 0.000 0.000 0.000 1
Re1 0.000 0.500 0.500 1
Re2 0.500 0.000 0.500 1
H1 0.500 0.500 0.500 1
Ru1 0.500 0.500 0.000 1

Entry 11:
# AlCo2Sn PBE relaxed
# * V: 13.58 Å³/atom
# * energy of formation from the pure elements: -185 meV per atom
# * N(E_F): 1.15 states/eV/f.u.
data_AlCo2Sn
_chemical_formula_sum 'Al1 Co2 Sn1'
_symmetry_space_group_name_H-M 'P 1'
_symmetry_Int_Tables_number 1
_symmetry_space_group_name_Hall 'P 1'
_cell_length_a 3.011
_cell_length_b 3.011
_cell_length_c 5.991
_cell_angle_alpha 90.00
_cell_angle_beta 90.00
_cell_angle_gamma 90.00
loop_
_atom_site_label
_atom_site_fract_x
_atom_site_fract_y
_atom_site_fract_z
_atom_site_occupancy
Al1 0.000 0.000 0.000 1
Co1 0.500 0.500 0.232 1
Co2 0.500 0.500 0.768 1
Sn1 0.000 0.000 0.500 1

Entry 12:
# SbIrSCl2 PBE relaxed
# * ΔE_f (raw): 271 meV/atom
# * V: 21.49 Å³/atom
# * N(E_F): 3.09 states/eV/f.u.
data_SbIrSCl2
_chemical_formula_sum 'Sb1 Ir1 S1 Cl2'
_symmetry_space_group_name_H-M 'P 1'
_symmetry_Int_Tables_number 1
_symmetry_space_group_name_Hall 'P 1'
_cell_length_a 4.768
_cell_length_b 4.768
_cell_length_c 4.726
_cell_angle_alpha 90.00
_cell_angle_beta 90.00
_cell_angle_gamma 90.00
loop_
_atom_site_label
_atom_site_fract_x
_atom_site_fract_y
_atom_site_fract_z
_atom_site_occupancy
Sb1 0.000 0.000 0.000 1
Ir1 0.500 0.500 0.500 1
S1 0.500 0.500 0.000 1
Cl1 0.000 0.500 0.500 1
Cl2 0.500 0.000 0.500 1

Entry 13:
# BeCoTc2Hg PBE relaxed
# * V: 14.28 Å³/atom
# * energy of formation from the pure elements: 720 meV per atom
# * N(E_F): 6.86 states/eV/f.u.
data_BeCoTc2Hg
_chemical_formula_sum 'Be1 Co1 Tc2 Hg1'
_symmetry_space_group_name_H-M 'P 1'
_symmetry_Int_Tables_number 1
_symmetry_space_group_name_Hall 'P 1'
_cell_length_a 4.224
_cell_length_b 4.224
_cell_length_c 4.003
_cell_angle_alpha 90.00
_cell_angle_beta 90.00
_cell_angle_gamma 90.00
loop_
_atom_site_label
_atom_site_fract_x
_atom_site_fract_y
_atom_site_fract_z
_atom_site_occupancy
Be1 0.000 0.000 0.000 1
Co1 0.000 0.000 0.500 1
Tc1 0.000 0.500 0.000 1
Tc2 0.500 0.000 0.000 1
Hg1 0.500 0.500 0.500 1

Entry 14:
# InPd7S2 PBE relaxed
# * ΔE_f (raw): -255 meV/atom
# * V: 16.28 Å³/atom
# * N(E_F): 6.49 states/eV/f.u.
data_InPd7S2
_chemical_formula_sum 'In1 Pd7 S2'
_symmetry_space_group_name_H-M 'P 1'
_symmetry_Int_Tables_number 1
_symmetry_space_group_name_Hall 'P 1'
_cell_length_a 10.293
_cell_length_b 10.293
_cell_length_c 10.293
_cell_angle_alpha 157.26
_cell_angle_beta 157.26
_cell_angle_gamma 32.37
loop_
_atom_site_label
_atom_site_fract_x
_atom_site_fract_y
_atom_site_fract_z
_atom_site_occupancy
In1 0.000 0.000 0.000 1
Pd1 0.103 0.603 0.500 1
Pd2 0.250 0.750 0.500 1
Pd3 0.397 0.897 0.500 1
Pd4 0.500 0.500 0.000 1
Pd5 0.603 0.103 0.500 1
Pd6 0.750 0.250 0.500 1
Pd7 0.897 0.397 0.500 1
S1 0.327 0.327 0.000 1
S2 0.673 0.673 0.000 1

Entry 15:
# Zr2AlB2 PBE relaxed
# * V: 13.65 Å³/atom
# * energy of formation from the pure elements: -651 meV per atom
# * N(E_F): 0.79 states/eV/f.u.
data_Zr2AlB2
_chemical_formula_sum 'Zr4 Al2 B4'
_symmetry_space_group_name_H-M 'P 1'
_symmetry_Int_Tables_number 1
_symmetry_space_group_name_Hall 'P 1'
_cell_length_a 6.113
_cell_length_b 6.113
_cell_length_c 3.652
_cell_angle_alpha 90.00
_cell_angle_beta 90.00
_cell_angle_gamma 90.00
loop_
_atom_site_label
_atom_site_fract_x
_atom_site_fract_y
_atom_site_fract_z
_atom_site_occupancy
Zr1 0.180 0.320 0.000 1
Zr2 0.320 0.820 0.000 1
Zr3 0.680 0.180 0.000 1
Zr4 0.820 0.680 0.000 1
Al1 0.000 0.000 0.500 1
Al2 0.500 0.500 0.500 1
B1 0.103 0.603 0.500 1
B2 0.397 0.103 0.500 1
B3 0.603 0.897 0.500 1
B4 0.897 0.397 0.500 1

Entry 16:
# MgBrCl2 PBE relaxed
# * ΔE_f (raw): -443 meV/atom
# * V: 22.39 Å³/atom
# * N(E_F): 4.04 states/eV/f.u.
data_MgBrCl2
_chemical_formula_sum 'Mg1 Br1 Cl2'
_symmetry_space_group_name_H-M 'P 1'
_symmetry_Int_Tables_number 1
_symmetry_space_group_name_Hall 'P 1'
_cell_length_a 5.186
_cell_length_b 5.186
_cell_length_c 5.186
_cell_angle_alpha 125.28
_cell_angle_beta 125.28
_cell_angle_gamma 81.07
loop_
_atom_site_label
_atom_site_fract_x
_atom_site_fract_y
_atom_site_fract_z
_atom_site_occupancy
Mg1 0.000 0.000 0.000 1
Br1 0.500 0.500 0.000 1
Cl1 0.250 0.750 0.500 1
Cl2 0.750 0.250 0.500 1

Entry 17:
# TcP2Pb PBE relaxed
# * V: 17.48 Å³/atom
# * energy of formation from the pure elements: 695 meV per atom
# * N(E_F): 3.08 states/eV/f.u.
data_TcP2Pb
_chemical_formula_sum 'Tc1 P2 Pb1'
_symmetry_space_group_name_H-M 'P 1'
_symmetry_Int_Tables_number 1
_symmetry_space_group_name_Hall 'P 1'
_cell_length_a 4.662
_cell_length_b 4.662
_cell_length_c 3.354
_cell_angle_alpha 90.00
_cell_angle_beta 90.00
_cell_angle_gamma 106.50
loop_
_atom_site_label
_atom_site_fract_x
_atom_site_fract_y
_atom_site_fract_z
_atom_site_occupancy
Tc1 0.000 0.000 0.000 1
P1 0.000 0.500 0.500 1
P2 0.500 0.000 0.500 1
Pb1 0.500 0.500 0.000 1

Entry 18:
# TaTl2Cr PBE relaxed
# * V: 20.41 Å³/atom
# * energy of formation from the pure elements: 674 meV per atom
# * N(E_F): 2.32 states/eV/f.u.
data_TaTl2Cr
_chemical_formula_sum 'Ta1 Tl2 Cr1'
_symmetry_space_group_name_H-M 'P 1'
_symmetry_Int_Tables_number 1
_symmetry_space_group_name_Hall 'P 1'
_cell_length_a 3.073
_cell_length_b 3.073
_cell_length_c 8.645
_cell_angle_alpha 90.00
_cell_angle_beta 90.00
_cell_angle_gamma 90.00
loop_
_atom_site_label
_atom_site_fract_x
_atom_site_fract_y
_atom_site_fract_z
_atom_site_occupancy
Ta1 0.000 0.000 0.000 1
Tl1 0.500 0.500 0.259 1
Tl2 0.500 0.500 0.741 1
Cr1 0.000 0.000 0.500 1

Entry 19:
# NaLi PBE relaxed
# * V: 28.48 Å³/atom
# * energy of formation from the pure elements: 70 meV per atom
# * N(E_F): 0.81 states/eV/f.u.
data_NaLi
_chemical_formula_sum 'Na3 Li3'
_symmetry_space_group_name_H-M 'P 1'
_symmetry_Int_Tables_number 1
_symmetry_space_group_name_Hall 'P 1'
_cell_length_a 6.404
_cell_length_b 6.404
_cell_length_c 6.404
_cell_angle_alpha 129.42
_cell_angle_beta 83.42
_cell_angle_gamma 118.66
loop_
_atom_site_label
_atom_site_fract_x
_atom_site_fract_y
_atom_site_fract_z
_atom_site_occupancy
Na1 0.000 0.000 0.000 1
Na2 0.577 0.250 0.326 1
Na3 0.924 0.250 0.674 1
Li1 0.105 0.759 0.345 1
Li2 0.414 0.759 0.655 1
Li3 0.492 0.492 0.000 1

Entry 20:
# ZrURu PBE relaxed
# * V: 19.25 Å³/atom
# * energy of formation from the pure elements: -274 meV per atom
# * N(E_F): 3.86 states/eV/f.u.
data_ZrURu
_chemical_formula_sum 'Zr2 U2 Ru2'
_symmetry_space_group_name_H-M 'P 1'
_symmetry_Int_Tables_number 1
_symmetry_space_group_name_Hall 'P 1'
_cell_length_a 7.014
_cell_length_b 7.014
_cell_length_c 5.051
_cell_angle_alpha 90.00
_cell_angle_beta 90.00
_cell_angle_gamma 152.31
loop_
_atom_site_label
_atom_site_fract_x
_atom_site_fract_y
_atom_site_fract_z
_atom_site_occupancy
Zr1 0.075 0.925 0.750 1
Zr2 0.925 0.075 0.250 1
U1 0.238 0.762 0.250 1
U2 0.762 0.238 0.750 1
Ru1 0.405 0.595 0.750 1
Ru2 0.595 0.405 0.250 1